VASP calculation (PBE+U) on Cs2Mg3VF12 after structural relaxation.

a b c (Å): 7.3630 7.3630 18.5192
angles (deg): 90.00 90.00 120.00
Space group R-3m (No. 166, hexagonal axes)
Asymmetric unit:
Cs (0.0000, 0.0000, 0.1088) [6 per cell]
Mg (0.0000, 0.5000, 0.0000) [9 per cell]
V (0.0000, 0.0000, 0.5000) [3 per cell]
F (0.0766, 0.5383, 0.3549) [18 per cell]
F (0.0883, 0.5442, 0.1105) [18 per cell]

Results
Crystal system   trigonal
VASP energy   -281.5 eV/cell